{"formula": "NaV2O4", "functional": "GGA+U", "state": "relaxed", "lattice": [[-4.540, -0.015, -0.033], [-0.010, -3.458, 2.941], [-0.042, 3.561, 4.186]], "species": ["Na", "V", "V", "O", "O", "O", "O"], "fractional_positions": [[0.000, 0.000, 0.000], [0.500, 0.000, 0.500], [0.000, 0.500, 0.500], [0.758, 0.242, 0.678], [0.242, 0.242, 0.322], [0.242, 0.758, 0.678], [0.758, 0.758, 0.322]], "relative_energy_ev_per_atom": 0.227, "magnetic_moment_mub_per_fu": 3.00, "space_group": "P-42m, No. 111", "e_tot_ev_per_atom": -6.94}